Entry from the Alexandria database: a relaxed structure of Ac3Se2O (GGA-PBE).

abc: 7.5521 7.5521 7.5521
angles: 148.76 132.06 58.34
Closest atoms and distances in Å follow each position.
Atoms (fractional coordinates):
Ac: 0.0000 0.0000 0.0000  2 O 3.07, 4 Se 3.14
Ac: 0.3631 0.3631 0.0000  2 O 2.72
Ac: 0.6369 0.6369 0.0000  2 O 2.72
Se: 0.1818 0.6818 0.5000  6 Ac 3.12-3.14
Se: 0.8182 0.3182 0.5000  6 Ac 3.12-3.14
O: 0.5000 0.0000 0.5000  4 Ac 2.72

Computed properties:
ΔE_f (raw)	-1998	meV per atom